a | {
  "formula": "Al12Ru",
  "functional": "PBE-GGA",
  "state": "optimized geometry",
  "cell": [[-3.7608, 3.7608, 3.7608], [3.7608, -3.7608, 3.7608], [3.7608, 3.7608, -3.7608]],
  "species": ["Al", "Al", "Al", "Al", "Al", "Al", "Al", "Al", "Al", "Al", "Al", "Al", "Ru"],
  "fractional_positions": [[0.1172, 0.3070, 0.8102], [0.1898, 0.4968, 0.3070], [0.1898, 0.8828, 0.6930], [0.3070, 0.1898, 0.4968], [0.3070, 0.8102, 0.1172], [0.4968, 0.3070, 0.1898], [0.5032, 0.6930, 0.8102], [0.6930, 0.1898, 0.8828], [0.6930, 0.8102, 0.5032], [0.8102, 0.1172, 0.3070], [0.8102, 0.5032, 0.6930], [0.8828, 0.6930, 0.1898], [0.0000, 0.0000, 0.0000]]
}



b | {
  "formula": "Al12Ru",
  "functional": "PBE-GGA",
  "state": "optimized geometry",
  "cell": [[9.4994, 0.0000, 0.0000], [0.0000, 9.4994, 0.0000], [0.0000, 0.0000, 9.4994]],
  "species": ["Al", "Al", "Al", "Al", "Al", "Al", "Al", "Al", "Al", "Al", "Al", "Al", "Al", "Al", "Al", "Al", "Al", "Al", "Al", "Al", "Al", "Al", "Al", "Al", "Al", "Al", "Al", "Al", "Al", "Al", "Al", "Al", "Al", "Al", "Al", "Al", "Al", "Al", "Al", "Al", "Al", "Al", "Al", "Al", "Al", "Al", "Al", "Al", "Ru", "Ru", "Ru", "Ru"],
  "fractional_positions": [[0.0000, 0.0000, 0.3531], [0.0000, 0.0000, 0.6469], [0.0000, 0.3531, 0.0000], [0.0000, 0.6469, 0.0000], [0.0301, 0.3104, 0.3104], [0.0301, 0.6896, 0.6896], [0.1404, 0.1404, 0.8596], [0.1404, 0.8596, 0.1404], [0.1433, 0.5000, 0.5000], [0.2019, 0.2019, 0.5605], [0.2019, 0.4395, 0.7981], [0.2019, 0.5605, 0.2019], [0.2019, 0.7981, 0.4395], [0.3104, 0.0301, 0.3104], [0.3104, 0.3104, 0.0301], [0.3104, 0.6896, 0.9699], [0.3104, 0.9699, 0.6896], [0.3133, 0.3133, 0.3133], [0.3133, 0.6867, 0.6867], [0.3531, 0.0000, 0.0000], [0.4001, 0.4001, 0.5999], [0.4001, 0.5999, 0.4001], [0.4395, 0.2019, 0.7981], [0.4395, 0.7981, 0.2019], [0.5000, 0.1433, 0.5000], [0.5000, 0.5000, 0.1433], [0.5000, 0.5000, 0.8567], [0.5000, 0.8567, 0.5000], [0.5605, 0.2019, 0.2019], [0.5605, 0.7981, 0.7981], [0.5999, 0.4001, 0.4001], [0.5999, 0.5999, 0.5999], [0.6469, 0.0000, 0.0000], [0.6867, 0.3133, 0.6867], [0.6867, 0.6867, 0.3133], [0.6896, 0.0301, 0.6896], [0.6896, 0.3104, 0.9699], [0.6896, 0.6896, 0.0301], [0.6896, 0.9699, 0.3104], [0.7981, 0.2019, 0.4395], [0.7981, 0.4395, 0.2019], [0.7981, 0.5605, 0.7981], [0.7981, 0.7981, 0.5605], [0.8567, 0.5000, 0.5000], [0.8596, 0.1404, 0.1404], [0.8596, 0.8596, 0.8596], [0.9699, 0.3104, 0.6896], [0.9699, 0.6896, 0.3104], [0.1337, 0.1337, 0.1337], [0.1337, 0.8663, 0.8663], [0.8663, 0.1337, 0.8663], [0.8663, 0.8663, 0.1337]]
}



Each structure's energy above the most stable one, in kJ/mol of atoms: a 0.0; b 12.7.